This record from Alexandria via LeMat-Bulk describes a relaxed structure of DyScRh4. The functional is PBE.

abc: 3.015 4.499 8.072
angles: 90.00 90.00 90.00
Space group Pmmm (No. 47)
One atom of each set of equivalent atoms:
Dy 0.000 0.000 0.000 [1 per cell]
Sc 0.500 0.500 0.500 [1 per cell]
Rh 0.000 0.500 0.230 [2 per cell]
Rh 0.500 0.000 0.294 [2 per cell]

**DOS at the Fermi energy**: 0.89 states/eV/atom
**Relative energy among the computed polymorphs**: 2.24 eV/f.u.
**M_tot**: 0.000 μB per formula unit
**E_form**: -196 kJ/mol of formula units
**Raw total energy**: -7.06 eV per atom